(1)
{"formula": "BiSeNF2", "functional": "PBE", "state": "relaxed", "lattice_angstrom": [[4.4140, 0.0000, 0.0000], [0.0000, 4.4140, 0.0000], [0.0000, 0.0000, 4.8083]], "species": ["Bi", "Se", "N", "F", "F"], "frac_coords": [[0.0000, 0.0000, 0.0000], [0.5000, 0.5000, 0.5000], [0.0000, 0.0000, 0.5000], [0.0000, 0.5000, 0.0000], [0.5000, 0.0000, 0.0000]], "de_polymorph_mev_per_atom": 0, "formation_energy_uncorrected_ev_per_atom": -0.139, "space_group": "No. 123"}

(2)
{"formula": "BiSeNF2", "functional": "PBE", "state": "relaxed", "lattice_angstrom": [[4.8272, 0.0000, 0.0000], [0.0000, 4.8272, 0.0000], [0.0000, 0.0000, 3.6283]], "species": ["Bi", "Se", "N", "F", "F"], "frac_coords": [[0.0000, 0.0000, 0.0000], [0.5000, 0.5000, 0.5000], [0.5000, 0.5000, 0.0000], [0.0000, 0.5000, 0.5000], [0.5000, 0.0000, 0.5000]], "de_polymorph_mev_per_atom": 134, "formation_energy_uncorrected_ev_per_atom": -0.005, "space_group": "No. 123"}

(3)
{"formula": "SrBiN2F", "functional": "PBE", "state": "relaxed", "lattice_angstrom": [[4.3714, 0.0000, 0.0000], [0.0000, 4.3714, 0.0000], [0.0000, 0.0000, 4.5418]], "species": ["Sr", "Bi", "N", "N", "F"], "frac_coords": [[0.0000, 0.0000, 0.0000], [0.5000, 0.5000, 0.5000], [0.0000, 0.5000, 0.5000], [0.5000, 0.0000, 0.5000], [0.5000, 0.5000, 0.0000]], "de_polymorph_mev_per_atom": 0, "formation_energy_uncorrected_ev_per_atom": -0.356, "space_group": "No. 123"}

Repeat the first record exactly.
{"formula": "BiSeNF2", "functional": "PBE", "state": "relaxed", "lattice_angstrom": [[4.4140, 0.0000, 0.0000], [0.0000, 4.4140, 0.0000], [0.0000, 0.0000, 4.8083]], "species": ["Bi", "Se", "N", "F", "F"], "frac_coords": [[0.0000, 0.0000, 0.0000], [0.5000, 0.5000, 0.5000], [0.0000, 0.0000, 0.5000], [0.0000, 0.5000, 0.0000], [0.5000, 0.0000, 0.0000]], "de_polymorph_mev_per_atom": 0, "formation_energy_uncorrected_ev_per_atom": -0.139, "space_group": "No. 123"}